Compound: TaCoWAu2
Source: Alexandria
Functional: GGA-PBE
Structure: relaxed

Summary:
The value obtained for the formation energy from the elements is 1.226 eV per atom.

abc: 4.6511 4.6511 4.3142
angles: 90.00 90.00 90.00
Space group P4/mmm (No. 123)
Asymmetric unit:
Ta 0.0000 0.0000 0.0000 x1
Co 0.5000 0.5000 0.5000 x1
W 0.5000 0.5000 0.0000 x1
Au 0.0000 0.5000 0.5000 x2

=====

Compound: PrNd3Rh3
Source: Alexandria
Functional: GGA-PBE
Structure: relaxed

Summary:
The value obtained for the formation energy from the elements is -0.537 eV per atom.

abc: 9.3783 10.6467 7.2125
angles: 90.00 90.58 90.00
Space group C2/m (No. 12)
Asymmetric unit:
Pr 0.2477 0.0000 0.3722 x4
Nd 0.0000 0.2553 0.5000 x4
Nd 0.0000 0.3188 0.0000 x4
Nd 0.1708 0.0000 0.8722 x4
Rh 0.0617 0.5000 0.3024 x4
Rh 0.2485 0.2518 0.2283 x8

=====

Compound: Ba5GeBi2I
Source: Alexandria
Functional: GGA-PBE
Structure: relaxed

abc: 5.8031 8.7527 18.0766
angles: 90.00 90.00 90.00
Space group Immm (No. 71)
Asymmetric unit:
Ba 0.0000 0.0000 0.0000 x2
Ba 0.0000 0.2637 0.3522 x8
Ge 0.0000 0.5000 0.5000 x2
Bi 0.0000 0.0000 0.2009 x4
I 0.0000 0.5000 0.0000 x2

=====

no.,final energy (eV per atom)
1,-6.47
2,-6.41
3,-3.43